a:
Crystalline K2AgRh at its relaxed geometry. Source: Alexandria, functional GGA-PBE.

Cell lengths 3.685, 3.673, 9.684 Å; angles 90.00, 90.55, 90.00 degrees
Fractional coordinates of all 4 atoms:
K 0.000 0.000 0.000
K 0.494 0.500 0.436
Ag 0.997 0.000 0.678
Rh 0.499 0.500 0.755

Results
Symmetry ... Pm (6)
Volume ... 32.8 A^3/atom



b:
Crystalline K2AgRh at its relaxed geometry. Source: Alexandria, functional GGA-PBE.

Cell lengths 5.883, 5.883, 5.568 Å; angles 117.73, 117.73, 45.85 degrees
Fractional coordinates of all 4 atoms:
K 0.000 0.000 0.000
K 0.205 0.205 0.704
Ag 0.783 0.783 0.287
Rh 0.414 0.414 0.409

Results
Symmetry ... Cm (8)
Volume ... 29.8 A^3/atom



Quick one: least stable of them? b



a:
Crystalline KAgRh2 at its relaxed geometry. Source: Alexandria, functional GGA-PBE.

Cell lengths 5.274, 5.274, 2.723 Å; angles 90.00, 90.00, 90.00 degrees
Fractional coordinates of all 4 atoms:
K 0.000 0.000 0.000
Ag 0.500 0.500 0.000
Rh 0.000 0.500 0.500
Rh 0.500 0.000 0.500

Results
Symmetry ... P4/mmm (123)
Volume ... 18.9 A^3/atom



b:
Crystalline KAgRh2 at its relaxed geometry. Source: Alexandria, functional GGA-PBE.

Cell lengths 2.785, 4.863, 6.025 Å; angles 90.00, 99.75, 90.00 degrees
Fractional coordinates of all 4 atoms:
K 0.000 0.000 0.000
Ag 0.500 0.000 0.500
Rh 0.308 0.500 0.685
Rh 0.692 0.500 0.315

Results
Symmetry ... P2/m (10)
Volume ... 20.1 A^3/atom



Quick one: least stable of them? a



a:
Crystalline KAgRh2 at its relaxed geometry. Source: Alexandria, functional GGA-PBE.

Cell lengths 6.130, 6.130, 6.130 Å; angles 153.47, 128.74, 58.64 degrees
Fractional coordinates of all 4 atoms:
K 0.000 0.000 0.000
Ag 0.287 0.787 0.500
Rh 0.520 0.520 0.000
Rh 0.717 0.217 0.500

Results
Symmetry ... Imm2 (44)
Volume ... 19.9 A^3/atom



b:
Crystalline KAgRh2 at its relaxed geometry. Source: Alexandria, functional GGA-PBE.

Cell lengths 2.864, 3.743, 7.856 Å; angles 90.00, 90.00, 90.00 degrees
Fractional coordinates of all 4 atoms:
K 0.000 0.000 0.000
Ag 0.500 0.500 0.670
Rh 0.000 0.000 0.447
Rh 0.500 0.500 0.316

Results
Symmetry ... Pmm2 (25)
Volume ... 21.0 A^3/atom



Quick one: least stable of them? a